# IrOs2Rh

A geometry-optimized IrOs2Rh structure (PBE, Alexandria).

Geometry as CIF:
```
data_IrOs2Rh
_chemical_formula_sum 'Ir1 Os2 Rh1'
_space_group_name_H-M_alt 'P 1'
_space_group_IT_number 1
_cell_length_a 2.7276
_cell_length_b 2.7276
_cell_length_c 7.7193
_cell_angle_alpha 90.00
_cell_angle_beta 90.00
_cell_angle_gamma 90.00
loop_
_space_group_symop_operation_xyz
'x,y,z'
loop_
_atom_site_label
_atom_site_fract_x
_atom_site_fract_y
_atom_site_fract_z
Ir1 0.0000 0.0000 0.0000
Os1 0.0000 0.0000 0.4934
Os2 0.5000 0.5000 0.2450
Rh1 0.5000 0.5000 0.7397
```

Computed properties:
**Distance to the lowest polymorph of the same formula**: 0.01 eV per formula unit
**Space-group type**: P4mm
**Formation energy from the elements**: 0.197 eV/f.u.
**Total magnetization**: 0.0 Bohr magnetons per cell

=====

# IrOsRh2

A geometry-optimized IrOsRh2 structure (PBE, Alexandria).

Geometry as CIF:
```
data_IrOsRh2
_chemical_formula_sum 'Ir2 Os2 Rh4'
_space_group_name_H-M_alt 'P 1'
_space_group_IT_number 1
_cell_length_a 5.4213
_cell_length_b 7.7676
_cell_length_c 2.7107
_cell_angle_alpha 90.00
_cell_angle_beta 90.00
_cell_angle_gamma 90.00
loop_
_space_group_symop_operation_xyz
'x,y,z'
loop_
_atom_site_label
_atom_site_fract_x
_atom_site_fract_y
_atom_site_fract_z
Ir1 0.0000 0.0000 0.0000
Ir2 0.5000 0.5000 0.0000
Os1 0.0000 0.5000 0.0000
Os2 0.5000 0.0000 0.0000
Rh1 0.2500 0.2500 0.5000
Rh2 0.2500 0.7500 0.5000
Rh3 0.7500 0.2500 0.5000
Rh4 0.7500 0.7500 0.5000
```

Computed properties:
**Distance to the lowest polymorph of the same formula**: 0.20 eV per formula unit
**Space-group type**: Cmmm
**Formation energy from the elements**: 0.234 eV/f.u.
**Total magnetization**: 0.0 Bohr magnetons per cell

=====

# Ir2OsRh2

A geometry-optimized Ir2OsRh2 structure (PBE, Alexandria).

Geometry as CIF:
```
data_Ir2OsRh2
_chemical_formula_sum 'Ir4 Os2 Rh4'
_space_group_name_H-M_alt 'P 1'
_space_group_IT_number 1
_cell_length_a 2.7284
_cell_length_b 3.8523
_cell_length_c 13.6427
_cell_angle_alpha 90.00
_cell_angle_beta 90.00
_cell_angle_gamma 90.00
loop_
_space_group_symop_operation_xyz
'x,y,z'
loop_
_atom_site_label
_atom_site_fract_x
_atom_site_fract_y
_atom_site_fract_z
Ir1 0.0000 0.0000 0.0979
Ir2 0.0000 0.0000 0.9021
Ir3 0.5000 0.5000 0.4021
Ir4 0.5000 0.5000 0.5979
Os1 0.0000 0.0000 0.5000
Os2 0.5000 0.5000 0.0000
Rh1 0.0000 0.0000 0.3002
Rh2 0.0000 0.0000 0.6998
Rh3 0.5000 0.5000 0.1998
Rh4 0.5000 0.5000 0.8002
```

Computed properties:
**Distance to the lowest polymorph of the same formula**: 0.00 eV per formula unit
**Space-group type**: Immm
**Formation energy from the elements**: -0.010 eV/f.u.
**Total magnetization**: 0.0 Bohr magnetons per cell

=====

Which value of total magnetization does entry 2 give?
0.0 Bohr magnetons per cell